Record 1
Computed, not measured: a geometry-optimized KLuTe3Au structure at the GGA-PBE level of DFT.

## Properties
The value obtained for the total energy is -3.938 eV per atom. The value obtained for the magnetic moment is 0.01 μB per formula unit.

abc: 4.1906 16.6408 11.1913
angles: 90.00 90.00 90.00
With the nearest neighbours (Å) after each atom.
Space group Cmcm (No. 63)
Unique sites:
K 0.0000 0.2380 0.2500  8 Te 3.59-4.00, 2 Au 3.97
Lu 0.0000 0.0000 0.0000  6 Te 3.04-3.08
Te 0.0000 0.0772 0.7500  2 Au 2.81, 2 Lu 3.08
Te 0.0000 0.3716 0.5466  1 Au 2.76, 2 Lu 3.04
Au 0.0000 0.4650 0.7500  4 Te 2.76-2.81

---

Record 2
Computed, not measured: a geometry-optimized Sc3CoC4 structure at the GGA-PBE level of DFT.

## Properties
The value obtained for the total energy is -8.323 eV per atom. The value obtained for the magnetic moment is 0.00 μB per formula unit.

abc: 3.4254 4.3329 11.9442
angles: 90.00 90.00 90.00
With the nearest neighbours (Å) after each atom.
Space group Immm (No. 71)
Unique sites:
Sc 0.0000 0.0000 0.0000  8 C 2.37
Sc 0.0000 0.5000 0.1877  6 C 2.37
Co 0.0000 0.0000 0.5000  4 C 2.06
C 0.0000 0.3330 0.3765  1 C 1.45